# PBE-GGA LaCrP2N6, relaxed
# Uncorrected energy   -8.120 eV per atom
# Calculated density   4.4 Mg/m³
# Formation energy (no corrections)   -0.588 eV per atom
data_LaCrP2N6
_chemical_formula_sum 'La2 Cr2 P4 N12'
_symmetry_space_group_name_H-M 'P 1'
_symmetry_Int_Tables_number 1
_cell_length_a 5.4154
_cell_length_b 7.0816
_cell_length_c 7.0816
_cell_angle_alpha 93.91
_cell_angle_beta 76.73
_cell_angle_gamma 76.73
loop_
_symmetry_equiv_pos_as_xyz
'x,y,z'
loop_
_atom_site_label
_atom_site_fract_x
_atom_site_fract_y
_atom_site_fract_z
P1 0.8270 0.6808 0.8417
Cr1 0.7500 0.6881 0.3119
N1 0.4417 0.1684 0.1964
N2 0.2113 0.0720 0.6522
N3 0.4281 0.7129 0.4677
Cr2 0.2500 0.3119 0.6881
N4 0.5583 0.8316 0.8036
N5 0.7113 0.6522 0.0720
N6 0.0583 0.8036 0.8316
N7 0.5719 0.2871 0.5323
La1 0.2500 0.8378 0.1622
N8 0.2887 0.3478 0.9280
P2 0.3270 0.8417 0.6808
P3 0.6730 0.1583 0.3192
N9 0.7887 0.9280 0.3478
N10 0.0719 0.5323 0.2871
N11 0.9417 0.1964 0.1684
N12 0.9281 0.4677 0.7129
P4 0.1730 0.3192 0.1583
La2 0.7500 0.1622 0.8378

---

# PBE-GGA La2CrP2N6, relaxed
# Uncorrected energy   -8.143 eV per atom
# Calculated density   5.8 Mg/m³
# Formation energy (no corrections)   -0.848 eV per atom
data_La2CrP2N6
_chemical_formula_sum 'La2 Cr1 P2 N6'
_symmetry_space_group_name_H-M 'P 1'
_symmetry_Int_Tables_number 1
_cell_length_a 5.4844
_cell_length_b 5.4844
_cell_length_c 6.1049
_cell_angle_alpha 63.31
_cell_angle_beta 63.31
_cell_angle_gamma 60.00
loop_
_symmetry_equiv_pos_as_xyz
'x,y,z'
loop_
_atom_site_label
_atom_site_fract_x
_atom_site_fract_y
_atom_site_fract_z
N1 0.2446 0.2446 0.7641
Cr1 0.0000 0.0000 0.0000
N2 0.2534 0.7554 0.2359
La1 0.7731 0.7731 0.6808
N3 0.7554 0.2534 0.2359
P1 0.4326 0.4326 0.7021
La2 0.2269 0.2269 0.3192
N4 0.7554 0.7554 0.2359
P2 0.5674 0.5674 0.2979
N5 0.2446 0.7466 0.7641
N6 0.7466 0.2446 0.7641

---

# PBE-GGA La2PaCrN5, relaxed
# Uncorrected energy   -9.088 eV per atom
# Calculated density   7.9 Mg/m³
# Formation energy (no corrections)   -1.244 eV per atom
data_La2PaCrN5
_chemical_formula_sum 'La4 Pa2 Cr2 N10'
_symmetry_space_group_name_H-M 'P 1'
_symmetry_Int_Tables_number 1
_cell_length_a 3.5269
_cell_length_b 7.2973
_cell_length_c 10.6779
_cell_angle_alpha 90.00
_cell_angle_beta 90.00
_cell_angle_gamma 103.98
loop_
_symmetry_equiv_pos_as_xyz
'x,y,z'
loop_
_atom_site_label
_atom_site_fract_x
_atom_site_fract_y
_atom_site_fract_z
Pa1 0.2057 0.4114 0.0106
N1 0.5086 0.0173 0.2960
N2 0.7170 0.4341 0.1457
Pa2 0.7943 0.5886 0.5106
N3 0.4914 0.9827 0.7960
N4 0.0379 0.0758 0.0204
La1 0.8914 0.7827 0.1949
N5 0.6916 0.3833 0.8805
N6 0.9621 0.9242 0.5204
N7 0.3723 0.7446 0.0050
Cr1 0.5058 0.0115 0.9639
N8 0.6277 0.2554 0.5050
N9 0.2830 0.5659 0.6457
La2 0.8644 0.7287 0.8070
La3 0.1086 0.2173 0.6949
La4 0.1356 0.2713 0.3070
N10 0.3084 0.6167 0.3805
Cr2 0.4942 0.9885 0.4639

---

# PBE-GGA LaPaCrN3, relaxed
# Uncorrected energy   -9.328 eV per atom
# Calculated density   8.3 Mg/m³
# Formation energy (no corrections)   -1.158 eV per atom
data_LaPaCrN3
_chemical_formula_sum 'La2 Pa2 Cr2 N6'
_symmetry_space_group_name_H-M 'P 1'
_symmetry_Int_Tables_number 1
_cell_length_a 3.4588
_cell_length_b 7.5017
_cell_length_c 7.3822
_cell_angle_alpha 103.13
_cell_angle_beta 90.00
_cell_angle_gamma 90.00
loop_
_symmetry_equiv_pos_as_xyz
'x,y,z'
loop_
_atom_site_label
_atom_site_fract_x
_atom_site_fract_y
_atom_site_fract_z
Cr1 0.2500 0.0819 0.5799
N1 0.7500 0.1817 0.4733
N2 0.7500 0.8696 0.1458
N3 0.2500 0.8183 0.5267
N4 0.2500 0.5574 0.8647
Cr2 0.7500 0.9181 0.4201
N5 0.2500 0.1304 0.8542
La1 0.7500 0.8205 0.7910
N6 0.7500 0.4426 0.1353
Pa1 0.7500 0.3390 0.8198
Pa2 0.2500 0.6610 0.1802
La2 0.2500 0.1795 0.2090

---

# PBE-GGA LaPa2CrN4, relaxed
# Uncorrected energy   -9.668 eV per atom
# Calculated density   9.9 Mg/m³
# Formation energy (no corrections)   -1.313 eV per atom
data_LaPa2CrN4
_chemical_formula_sum 'La2 Pa4 Cr2 N8'
_symmetry_space_group_name_H-M 'P 1'
_symmetry_Int_Tables_number 1
_cell_length_a 3.4493
_cell_length_b 6.1484
_cell_length_c 11.6284
_cell_angle_alpha 90.00
_cell_angle_beta 90.00
_cell_angle_gamma 106.29
loop_
_symmetry_equiv_pos_as_xyz
'x,y,z'
loop_
_atom_site_label
_atom_site_fract_x
_atom_site_fract_y
_atom_site_fract_z
N1 0.4343 0.8686 0.7500
Pa1 0.3675 0.7349 0.9456
La1 0.0964 0.1927 0.7500
N2 0.2653 0.5306 0.3827
Cr1 0.1642 0.3285 0.2500
N3 0.0000 0.0000 0.0000
Cr2 0.8358 0.6715 0.7500
Pa2 0.6325 0.2651 0.4456
N4 0.2653 0.5306 0.1173
N5 0.7347 0.4694 0.8827
Pa3 0.6325 0.2651 0.0544
N6 0.5657 0.1314 0.2500
La2 0.9036 0.8073 0.2500
N7 0.7347 0.4694 0.6173
N8 0.0000 0.0000 0.5000
Pa4 0.3675 0.7349 0.5544

---

# PBE-GGA LaCrPd2N, relaxed
# Uncorrected energy   -5.212 eV per atom
# Calculated density   6.1 Mg/m³
# Formation energy (no corrections)   1.440 eV per atom
data_LaCrPd2N
_chemical_formula_sum 'La1 Cr1 Pd2 N1'
_symmetry_space_group_name_H-M 'P 1'
_symmetry_Int_Tables_number 1
_cell_length_a 5.3108
_cell_length_b 4.0541
_cell_length_c 5.3108
_cell_angle_alpha 90.00
_cell_angle_beta 90.00
_cell_angle_gamma 90.00
loop_
_symmetry_equiv_pos_as_xyz
'x,y,z'
loop_
_atom_site_label
_atom_site_fract_x
_atom_site_fract_y
_atom_site_fract_z
La1 0.0000 0.0000 0.0000
N1 0.0000 0.5000 0.0000
Pd1 0.0000 0.0000 0.5000
Pd2 0.5000 0.0000 0.0000
Cr1 0.5000 0.5000 0.5000

---

# PBE-GGA LaPmCrN3, relaxed
# Uncorrected energy   -8.436 eV per atom
# Calculated density   6.3 Mg/m³
# Formation energy (no corrections)   -1.056 eV per atom
data_LaPmCrN3
_chemical_formula_sum 'La2 Pm2 Cr2 N6'
_symmetry_space_group_name_H-M 'P 1'
_symmetry_Int_Tables_number 1
_cell_length_a 3.4900
_cell_length_b 7.8029
_cell_length_c 7.3475
_cell_angle_alpha 98.62
_cell_angle_beta 90.00
_cell_angle_gamma 90.00
loop_
_symmetry_equiv_pos_as_xyz
'x,y,z'
loop_
_atom_site_label
_atom_site_fract_x
_atom_site_fract_y
_atom_site_fract_z
La1 0.2500 0.1822 0.1846
N1 0.2500 0.1277 0.8411
Cr1 0.2500 0.0810 0.5957
La2 0.7500 0.8178 0.8154
N2 0.2500 0.8490 0.4879
Pm1 0.2500 0.6319 0.1800
N3 0.2500 0.6029 0.8529
Pm2 0.7500 0.3681 0.8200
N4 0.7500 0.1510 0.5121
Cr2 0.7500 0.9190 0.4043
N5 0.7500 0.3971 0.1471
N6 0.7500 0.8723 0.1589

---

# PBE-GGA LaPmCrN4, relaxed
# Uncorrected energy   -8.597 eV per atom
# Calculated density   6.0 Mg/m³
# Formation energy (no corrections)   -1.082 eV per atom
data_LaPmCrN4
_chemical_formula_sum 'La2 Pm2 Cr2 N8'
_symmetry_space_group_name_H-M 'P 1'
_symmetry_Int_Tables_number 1
_cell_length_a 5.6772
_cell_length_b 5.4368
_cell_length_c 7.2742
_cell_angle_alpha 90.00
_cell_angle_beta 105.21
_cell_angle_gamma 90.00
loop_
_symmetry_equiv_pos_as_xyz
'x,y,z'
loop_
_atom_site_label
_atom_site_fract_x
_atom_site_fract_y
_atom_site_fract_z
La1 0.2184 0.2500 0.5252
N1 0.0347 0.9992 0.2226
Pm1 0.7487 0.7500 0.9639
N2 0.6356 0.2500 0.4783
N3 0.9653 0.4992 0.7774
N4 0.5468 0.2500 0.8453
N5 0.0347 0.5008 0.2226
N6 0.9653 0.0008 0.7774
Cr1 0.2299 0.7500 0.2793
Cr2 0.7701 0.2500 0.7207
N7 0.3644 0.7500 0.5217
La2 0.7816 0.7500 0.4748
N8 0.4532 0.7500 0.1547
Pm2 0.2513 0.2500 0.0361